PBE HoTc2, relaxed; electronic total energy = -8.60 eV/atom; polymorph energy (0 for the lowest one) = 35 meV per atom; energy of formation = -0.17 eV per atom
1.0
0.000 3.803 3.803
3.803 0.000 3.803
3.803 3.803 0.000
Ho Tc
2 4
Cartesian
0.951 0.951 0.951
6.655 6.655 6.655
3.803 1.902 1.902
1.902 3.803 1.902
1.902 1.902 3.803
3.803 3.803 3.803

***

PBE CsTa3As5, relaxed; electronic total energy = -6.98 eV/atom
1.0
5.681 0.000 0.000
-2.841 4.920 0.000
0.000 0.000 8.304
Cs Ta As
1 3 5
Cartesian
0.000 0.000 0.000
-1.420 2.460 4.152
2.841 0.000 4.152
1.420 2.460 4.152
0.000 0.000 4.152
0.000 3.280 2.052
0.000 3.280 6.251
2.841 1.640 2.052
2.841 1.640 6.251

***

PBE TmPdNO, relaxed; electronic total energy = -6.92 eV/atom; polymorph energy (0 for the lowest one) = 315 meV per atom
1.0
4.719 0.000 0.000
0.000 4.719 0.000
0.000 0.000 4.445
Tm Pd N O
2 2 2 2
Cartesian
1.180 3.539 0.000
3.539 1.180 0.000
1.180 1.180 2.207
3.539 3.539 2.238
1.180 1.180 4.427
3.539 3.539 0.018
1.180 3.539 2.222
3.539 1.180 2.222

***

PBE Tm5Pb4, relaxed; electronic total energy = -4.61 eV/atom
1.0
8.104 0.000 0.000
0.000 15.388 0.000
0.000 0.000 8.145
Tm Pb
20 16
Cartesian
0.309 1.520 1.430
0.309 6.174 1.430
1.006 9.566 2.801
1.006 13.517 2.801
1.692 3.847 4.109
2.360 11.541 0.037
3.047 1.872 6.873
3.047 5.822 6.873
3.743 9.214 5.502
3.743 13.868 5.502
4.361 1.520 2.642
4.361 6.174 2.642
5.058 9.566 1.272
5.058 13.517 1.272
5.744 3.847 8.108
6.412 11.541 4.036
7.099 1.872 5.344
7.099 5.822 5.344
7.795 9.214 6.715
7.795 13.868 6.715
0.568 3.847 7.136
1.214 11.541 5.338
1.764 0.661 4.353
1.764 7.033 4.353
2.288 8.355 0.281
2.288 14.727 0.281
2.838 3.847 1.265
3.484 11.541 3.064
4.620 3.847 5.081
5.266 11.541 6.879
5.816 0.661 7.864
5.816 7.033 7.864
6.340 8.355 3.791
6.340 14.727 3.791
6.890 3.847 2.807
7.536 11.541 1.009

***

PBE FeAsP, relaxed; electronic total energy = -6.48 eV/atom
1.0
5.130 0.000 0.000
0.000 2.801 0.000
-0.160 0.000 5.810
Fe As P
2 2 2
Cartesian
0.000 0.000 0.000
2.485 1.400 2.905
0.816 0.000 3.726
4.154 0.000 2.085
1.663 1.400 0.765
3.307 1.400 5.045

***

PBE Y3Mg3CuHg2, relaxed; electronic total energy = -3.51 eV/atom
1.0
7.697 0.000 0.000
-3.848 6.665 0.000
0.000 0.000 4.163
Y Mg Cu Hg
3 3 1 2
Cartesian
-2.297 3.978 0.000
1.552 2.687 0.000
4.593 0.000 0.000
-0.910 1.577 2.081
1.821 0.000 2.081
2.938 5.089 2.081
0.000 0.000 0.000
0.000 4.444 2.081
3.848 2.222 2.081